# ScCo2Pd

Crystalline ScCo2Pd at its relaxed geometry (PBE, the Open Quantum Materials Database).

a b c (Å): 4.3257 4.3257 4.3257
angles (deg): 60.00 60.00 60.00
Element x y z (fractional)
Sc: 0.0000 0.0000 0.0000
Co: 0.5000 0.5000 0.5000
Co: 0.7500 0.7500 0.7500
Pd: 0.2500 0.2500 0.2500

## Properties
Calculated formation energy, eV per atom: -0.174